Material: AgWAu2
Method: DFT, meta-GGA SCAN
State: single point on PBEsol structure

Output
distance to the lowest polymorph of the same formula: 298 meV per atom
calculated formation energy: 610.8 meV/atom
VASP energy: -473.9 eV for the cell shown

CIF file:
```
data_AgWAu2
_chemical_formula_sum 'Ag2 W2 Au4'
_space_group_name_H-M_alt 'I -4 m 2'
_space_group_IT_number 119
_space_group_name_Hall 'I -4 -2'
_cell_length_a 4.110
_cell_length_b 4.110
_cell_length_c 7.714
_cell_angle_alpha 90.00
_cell_angle_beta 90.00
_cell_angle_gamma 90.00
loop_
_atom_site_label
_atom_site_type_symbol
_atom_site_fract_x
_atom_site_fract_y
_atom_site_fract_z
Ag1 Ag 0.000 0.000 0.000
W1 W 0.000 0.500 0.750
Au1 Au 0.000 0.000 0.500
Au2 Au 0.000 0.500 0.250
```